Arrangement P

Density functional theory data (PBE-GGA) for a relaxed SmNbPd crystal.

**SG**: F-43m, No. 216

abc: 4.6855 4.6855 4.6855
angles: 60.00 60.00 60.00
Last column: nearest neighbours and their distance in Å.
Element x y z (fractional)
Sm1 0.7500 0.7500 0.7500  4 Pd 2.87
Nb1 0.2500 0.2500 0.2500  4 Pd 2.87
Pd1 0.0000 0.0000 0.0000  4 Sm 2.87, 4 Nb 2.87



Arrangement Q

Density functional theory data (PBE-GGA) for a relaxed SmNbPd crystal.

**SG**: F-43m, No. 216

abc: 4.6906 4.6906 4.6906
angles: 60.00 60.00 60.00
Last column: nearest neighbours and their distance in Å.
Element x y z (fractional)
Pd1 0.7500 0.7500 0.7500  4 Sm 2.87
Nb1 0.2500 0.2500 0.2500  4 Sm 2.87
Sm1 0.0000 0.0000 0.0000  4 Nb 2.87, 4 Pd 2.87



Tell me which of them is the most stable. Sure, it is arrangement P.



Arrangement P

Density functional theory data (PBE-GGA) for a relaxed UNbPd crystal.

**SG**: F-43m, No. 216

abc: 4.5081 4.5081 4.5081
angles: 60.00 60.00 60.00
Last column: nearest neighbours and their distance in Å.
Element x y z (fractional)
Nb1 0.2500 0.2500 0.2500  4 U 2.76
Pd1 0.7500 0.7500 0.7500  4 U 2.76
U1 0.0000 0.0000 0.0000  4 Pd 2.76, 4 Nb 2.76



Arrangement Q

Density functional theory data (PBE-GGA) for a relaxed UNbPd crystal.

**SG**: F-43m, No. 216

abc: 4.4560 4.4560 4.4560
angles: 60.00 60.00 60.00
Last column: nearest neighbours and their distance in Å.
Element x y z (fractional)
Pd1 0.2500 0.2500 0.2500  4 Nb 2.73
U1 0.7500 0.7500 0.7500  4 Nb 2.73
Nb1 0.0000 0.0000 0.0000  4 U 2.73, 4 Pd 2.73



Tell me which of them is the most stable. Sure, it is arrangement Q.



Arrangement P

Density functional theory data (PBE-GGA) for a relaxed PmNb crystal.

**SG**: P6_3/mmc, No. 194

abc: 3.6372 3.6372 7.8703
angles: 90.00 90.00 120.00
Last column: nearest neighbours and their distance in Å.
Element x y z (fractional)
Pm1 0.0000 0.0000 0.0000  6 Nb 2.88
Pm2 0.0000 0.0000 0.5000  6 Nb 2.88
Nb1 0.6667 0.3333 0.2500  6 Pm 2.88
Nb2 0.3333 0.6667 0.7500  6 Pm 2.88



Arrangement Q

Density functional theory data (PBE-GGA) for a relaxed PmNb crystal.

**SG**: Fm-3m, No. 225

abc: 4.2234 4.2234 4.2234
angles: 60.00 60.00 60.00
Last column: nearest neighbours and their distance in Å.
Element x y z (fractional)
Pm1 0.5000 0.5000 0.5000  6 Nb 2.99
Nb1 0.0000 0.0000 0.0000  6 Pm 2.99



Tell me which of them is the most stable. Sure, it is arrangement P.



Arrangement P

Density functional theory data (PBE-GGA) for a relaxed PmNb crystal.

**SG**: P6_3/mmc, No. 194

abc: 5.2692 5.2692 4.9231
angles: 90.00 90.00 120.00
Last column: nearest neighbours and their distance in Å.
Element x y z (fractional)
Pm1 0.3333 0.6667 0.7500  6 Nb 3.28
Pm2 0.6667 0.3333 0.2500  6 Nb 3.28
Nb1 0.0000 0.0000 0.5000  2 Nb 2.46
Nb2 0.0000 0.0000 0.0000  2 Nb 2.46



Arrangement Q

Density functional theory data (PBE-GGA) for a relaxed PmNb crystal.

**SG**: F-43m, No. 216

abc: 4.5427 4.5427 4.5427
angles: 60.00 60.00 60.00
Last column: nearest neighbours and their distance in Å.
Element x y z (fractional)
Pm1 0.2500 0.2500 0.2500  4 Nb 2.78
Nb1 0.0000 0.0000 0.0000  4 Pm 2.78



Tell me which of them is the most stable. Sure, it is arrangement P.



Arrangement P

Density functional theory data (PBE-GGA) for a relaxed Pm2Nb crystal.

**SG**: Fd-3m, No. 227

abc: 6.1397 6.1397 6.1397
angles: 60.00 60.00 60.00
Last column: nearest neighbours and their distance in Å.
Element x y z (fractional)
Pm1 0.1250 0.6250 0.6250  6 Pm 3.07
Pm2 0.6250 0.6250 0.6250  6 Pm 3.07
Pm3 0.6250 0.1250 0.6250  6 Pm 3.07
Pm4 0.6250 0.6250 0.1250  6 Pm 3.07
Nb1 0.0000 0.0000 0.0000  12 Pm 3.60, 4 Nb 3.76
Nb2 0.2500 0.2500 0.2500  12 Pm 3.60, 4 Nb 3.76



Arrangement Q

Density functional theory data (PBE-GGA) for a relaxed Pm2Nb crystal.

**SG**: Fd-3m, No. 227

abc: 8.5044 8.5044 8.5044
angles: 60.00 60.00 60.00
Last column: nearest neighbours and their distance in Å.
Element x y z (fractional)
Nb1 0.5000 0.5000 0.5000  4 Pm 2.60
Nb2 0.2500 0.2500 0.2500  4 Pm 2.60
Pm1 0.8750 0.3750 0.3750  2 Nb 2.60
Pm2 0.3750 0.3750 0.8750  2 Nb 2.60
Pm3 0.3750 0.8750 0.3750  2 Nb 2.60
Pm4 0.3750 0.3750 0.3750  2 Nb 2.60



Tell me which of them is the most stable. Sure, it is arrangement P.



Arrangement P

Density functional theory data (PBE-GGA) for a relaxed PmScNb crystal.

**SG**: F-43m, No. 216

abc: 4.9272 4.9272 4.9272
angles: 60.00 60.00 60.00
Last column: nearest neighbours and their distance in Å.
Element x y z (fractional)
Pm1 0.7500 0.7500 0.7500  4 Nb 3.02
Nb1 0.0000 0.0000 0.0000  4 Sc 3.02, 4 Pm 3.02
Sc1 0.2500 0.2500 0.2500  4 Nb 3.02



Arrangement Q

Density functional theory data (PBE-GGA) for a relaxed PmScNb crystal.

**SG**: F-43m, No. 216

abc: 4.8839 4.8839 4.8839
angles: 60.00 60.00 60.00
Last column: nearest neighbours and their distance in Å.
Element x y z (fractional)
Nb1 0.2500 0.2500 0.2500  4 Pm 2.99
Pm1 0.0000 0.0000 0.0000  4 Nb 2.99, 4 Sc 2.99
Sc1 0.7500 0.7500 0.7500  4 Pm 2.99



Tell me which of them is the most stable. Sure, it is arrangement P.



Arrangement P

Density functional theory data (PBE-GGA) for a relaxed PmNbTl crystal.

**SG**: F-43m, No. 216

abc: 4.9706 4.9706 4.9706
angles: 60.00 60.00 60.00
Last column: nearest neighbours and their distance in Å.
Element x y z (fractional)
Tl1 0.0000 0.0000 0.0000  4 Pm 3.04, 4 Nb 3.04
Pm1 0.7500 0.7500 0.7500  4 Tl 3.04
Nb1 0.2500 0.2500 0.2500  4 Tl 3.04



Arrangement Q

Density functional theory data (PBE-GGA) for a relaxed PmNbTl crystal.

**SG**: F-43m, No. 216

abc: 5.0680 5.0680 5.0680
angles: 60.00 60.00 60.00
Last column: nearest neighbours and their distance in Å.
Element x y z (fractional)
Pm1 0.0000 0.0000 0.0000  4 Tl 3.10, 4 Nb 3.10
Nb1 0.2500 0.2500 0.2500  4 Pm 3.10
Tl1 0.7500 0.7500 0.7500  4 Pm 3.10



Tell me which of them is the most stable. Sure, it is arrangement P.



Arrangement P

Density functional theory data (PBE-GGA) for a relaxed PmNbZn crystal.

**SG**: F-43m, No. 216

abc: 4.8394 4.8394 4.8394
angles: 60.00 60.00 60.00
Last column: nearest neighbours and their distance in Å.
Element x y z (fractional)
Pm1 0.0000 0.0000 0.0000  4 Zn 2.96, 4 Nb 2.96
Nb1 0.2500 0.2500 0.2500  4 Pm 2.96
Zn1 0.7500 0.7500 0.7500  4 Pm 2.96



Arrangement Q

Density functional theory data (PBE-GGA) for a relaxed PmNbZn crystal.

**SG**: F-43m, No. 216

abc: 4.6660 4.6660 4.6660
angles: 60.00 60.00 60.00
Last column: nearest neighbours and their distance in Å.
Element x y z (fractional)
Nb1 0.2500 0.2500 0.2500  4 Zn 2.86
Zn1 0.0000 0.0000 0.0000  4 Nb 2.86, 4 Pm 2.86
Pm1 0.7500 0.7500 0.7500  4 Zn 2.86



Tell me which of them is the most stable. Sure, it is arrangement Q.



Arrangement P

Density functional theory data (PBE-GGA) for a relaxed PrNbSi crystal.

**SG**: F-43m, No. 216

abc: 4.9171 4.9171 4.9171
angles: 60.00 60.00 60.00
Last column: nearest neighbours and their distance in Å.
Element x y z (fractional)
Si1 0.7500 0.7500 0.7500  4 Pr 3.01
Nb1 0.2500 0.2500 0.2500  4 Pr 3.01
Pr1 0.0000 0.0000 0.0000  4 Nb 3.01, 4 Si 3.01



Arrangement Q

Density functional theory data (PBE-GGA) for a relaxed PrNbSi crystal.

**SG**: F-43m, No. 216

abc: 4.6760 4.6760 4.6760
angles: 60.00 60.00 60.00
Last column: nearest neighbours and their distance in Å.
Element x y z (fractional)
Nb1 0.2500 0.2500 0.2500  4 Si 2.86
Si1 0.0000 0.0000 0.0000  4 Pr 2.86, 4 Nb 2.86
Pr1 0.7500 0.7500 0.7500  4 Si 2.86



Tell me which of them is the most stable. Sure, it is arrangement Q.



Arrangement P

Density functional theory data (PBE-GGA) for a relaxed PrNbZn crystal.

**SG**: F-43m, No. 216

abc: 4.7083 4.7083 4.7083
angles: 60.00 60.00 60.00
Last column: nearest neighbours and their distance in Å.
Element x y z (fractional)
Nb1 0.2500 0.2500 0.2500  4 Zn 2.88
Pr1 0.7500 0.7500 0.7500  4 Zn 2.88
Zn1 0.0000 0.0000 0.0000  4 Nb 2.88, 4 Pr 2.88



Arrangement Q

Density functional theory data (PBE-GGA) for a relaxed PrNbZn crystal.

**SG**: F-43m, No. 216

abc: 4.8859 4.8859 4.8859
angles: 60.00 60.00 60.00
Last column: nearest neighbours and their distance in Å.
Element x y z (fractional)
Pr1 0.2500 0.2500 0.2500  4 Zn 2.99, 4 Nb 2.99
Zn1 0.0000 0.0000 0.0000  4 Pr 2.99
Nb1 0.5000 0.5000 0.5000  4 Pr 2.99



Tell me which of them is the most stable. Sure, it is arrangement P.



Arrangement P

Density functional theory data (PBE-GGA) for a relaxed NbTePt crystal.

**SG**: F-43m, No. 216

abc: 4.5523 4.5523 4.5523
angles: 60.00 60.00 60.00
Last column: nearest neighbours and their distance in Å.
Element x y z (fractional)
Te1 0.7500 0.7500 0.7500  4 Nb 2.79
Nb1 0.0000 0.0000 0.0000  4 Te 2.79, 4 Pt 2.79
Pt1 0.2500 0.2500 0.2500  4 Nb 2.79



Arrangement Q

Density functional theory data (PBE-GGA) for a relaxed NbTePt crystal.

**SG**: F-43m, No. 216

abc: 4.4855 4.4855 4.4855
angles: 60.00 60.00 60.00
Last column: nearest neighbours and their distance in Å.
Element x y z (fractional)
Te1 0.0000 0.0000 0.0000  4 Pt 2.75, 4 Nb 2.75
Pt1 0.7500 0.7500 0.7500  4 Te 2.75
Nb1 0.2500 0.2500 0.2500  4 Te 2.75



Tell me which of them is the most stable. Sure, it is arrangement P.



Arrangement P

Density functional theory data (PBE-GGA) for a relaxed ThNbPt crystal.

**SG**: F-43m, No. 216

abc: 4.7188 4.7188 4.7188
angles: 60.00 60.00 60.00
Last column: nearest neighbours and their distance in Å.
Element x y z (fractional)
Pt1 0.0000 0.0000 0.0000  4 Th 2.89
Th1 0.2500 0.2500 0.2500  4 Nb 2.89, 4 Pt 2.89
Nb1 0.5000 0.5000 0.5000  4 Th 2.89



Arrangement Q

Density functional theory data (PBE-GGA) for a relaxed ThNbPt crystal.

**SG**: F-43m, No. 216

abc: 4.7567 4.7567 4.7567
angles: 60.00 60.00 60.00
Last column: nearest neighbours and their distance in Å.
Element x y z (fractional)
Nb1 0.2500 0.2500 0.2500  4 Pt 2.91
Th1 0.7500 0.7500 0.7500  4 Pt 2.91
Pt1 0.0000 0.0000 0.0000  4 Nb 2.91, 4 Th 2.91



Tell me which of them is the most stable. Sure, it is arrangement Q.